# 1
Material: SmNiGe
Method: DFT, GGA-PBE
State: relaxed

The calculation puts the density of states at the Fermi level at 9.33 states/eV/cell. The energy of formation from the pure elements is -0.7407 eV/atom.

The structure belongs to space group Pnma (No. 62); the cell edges are 7.139, 4.314 and 7.314 Å and the angles 90.00°, 90.00° and 90.00°. The asymmetric unit holds Sm at (0.012, 0.250, 0.204), Ni at (0.190, 0.750, 0.419) and Ge at (0.194, 0.250, 0.589).

=====

# 2
Material: Tb7Pr3Th
Method: DFT, GGA-PBE
State: relaxed

The calculation puts the density of states at the Fermi level at 17.05 states/eV/cell. The energy of formation from the pure elements is 0.1730 eV/atom.

The structure belongs to space group P3m1 (No. 156); the cell edges are 7.1123, 7.1123 and 8.8064 Å and the angles 90.00°, 90.00° and 120.00°. The asymmetric unit holds Tb at (0.0000, 0.0000, 0.9996), Tb at (0.1661, 0.3321, 0.3221), Tb at (0.5023, 0.0046, 0.0000), Pr at (0.3373, 0.1687, 0.6570) and Th at (0.6667, 0.3333, 0.3214).

=====

# 3
Material: ErSc4Tl2
Method: DFT, GGA-PBE
State: relaxed

The calculation puts the density of states at the Fermi level at 20.01 states/eV/cell. The relative energy among the computed polymorphs is 0 meV per atom. The energy of formation from the pure elements is 0.0977 eV/atom.

The structure belongs to space group C2/m (No. 12); the cell edges are 6.226, 10.166 and 5.818 Å and the angles 90.00°, 103.46° and 90.00°. The asymmetric unit holds Er at (0.000, 0.000, 0.000), Sc at (0.000, 0.204, 0.500), Sc at (0.250, 0.250, 0.000) and Tl at (0.103, 0.500, 0.283).

=====

# 4
Material: BaZr2
Method: DFT, GGA-PBE
State: relaxed

The calculation puts the density of states at the Fermi level at 17.64 states/eV/cell. The relative energy among the computed polymorphs is 137 meV per atom. The energy of formation from the pure elements is 0.4555 eV/atom.

The structure belongs to space group Cmcm (No. 63); the cell edges are 12.837, 5.760 and 5.234 Å and the angles 90.00°, 90.00° and 90.00°. The asymmetric unit holds Ba at (0.000, 0.213, 0.250) and Zr at (0.205, 0.349, 0.750).

=====

# 5
Material: Sn2PbF
Method: DFT, GGA-PBE
State: relaxed

The calculation puts the density of states at the Fermi level at 7.50 states/eV/cell. The relative energy among the computed polymorphs is 11 meV per atom. Its energy relative to the elements, uncorrected is -502 meV per atom.

The structure belongs to space group Fm-3m (No. 225); the cell edges are 7.295, 7.295 and 7.295 Å and the angles 90.00°, 90.00° and 90.00°. The asymmetric unit holds Sn at (0.250, 0.250, 0.250), Pb at (0.000, 0.000, 0.000) and F at (0.000, 0.000, 0.500).

=====

# 6
Material: CrCuB3
Method: DFT, GGA-PBE
State: relaxed

The calculation puts the density of states at the Fermi level at 8.32 states/eV/cell. The relative energy among the computed polymorphs is 480 meV per atom. The energy of formation from the pure elements is 1.7089 eV/atom.

The structure belongs to space group Pm-3m (No. 221); the cell edges are 3.714, 3.714 and 3.714 Å and the angles 90.00°, 90.00° and 90.00°. The asymmetric unit holds Cr at (0.000, 0.000, 0.000), Cu at (0.500, 0.500, 0.500) and B at (0.000, 0.500, 0.500).

=====

# 7
Material: CePr3Ga4
Method: DFT, GGA-PBE
State: relaxed

The calculation puts the density of states at the Fermi level at 8.85 states/eV/cell. The relative energy among the computed polymorphs is 0 meV per atom. The energy of formation from the pure elements is -0.5174 eV/atom.

The structure belongs to space group P4/mmm (No. 123); the cell edges are 3.702, 3.702 and 14.878 Å and the angles 90.00°, 90.00° and 90.00°. The asymmetric unit holds Ce at (0.000, 0.000, 0.000), Pr at (0.000, 0.000, 0.248), Pr at (0.000, 0.000, 0.500), Ga at (0.500, 0.500, 0.123) and Ga at (0.500, 0.500, 0.374).

=====

# 8
Material: Tb3Ho2Tl4
Method: DFT, GGA-PBE
State: relaxed

The calculation puts the density of states at the Fermi level at 14.86 states/eV/cell. The relative energy among the computed polymorphs is 0 meV per atom. The energy of formation from the pure elements is -0.2756 eV/atom.

The structure belongs to space group C2/m (No. 12); the cell edges are 16.800, 4.842 and 6.686 Å and the angles 90.00°, 105.50° and 90.00°. The asymmetric unit holds Tb at (0.000, 0.000, 0.000), Tb at (0.110, 0.000, 0.584), Ho at (0.171, 0.500, 0.066), Tl at (0.010, 0.500, 0.284) and Tl at (0.248, 0.500, 0.665).

=====

# 9
Material: CePrHo3
Method: DFT, GGA-PBE
State: relaxed

The calculation puts the density of states at the Fermi level at 35.02 states/eV/cell. The relative energy among the computed polymorphs is 0 meV per atom. The energy of formation from the pure elements is 0.0481 eV/atom.

The structure belongs to space group Pnma (No. 62); the cell edges are 10.040, 3.555 and 17.719 Å and the angles 90.00°, 90.00° and 90.00°. The asymmetric unit holds Ce at (0.118, 0.250, 0.048), Pr at (0.127, 0.250, 0.648), Ho at (0.121, 0.250, 0.851), Ho at (0.127, 0.250, 0.250) and Ho at (0.132, 0.250, 0.451).

=====

# 10
Material: Ce2ScTl
Method: DFT, GGA-PBE
State: relaxed

The calculation puts the density of states at the Fermi level at 27.81 states/eV/cell. The relative energy among the computed polymorphs is 0 meV per atom. The energy of formation from the pure elements is -0.1914 eV/atom.

The structure belongs to space group Cmcm (No. 63); the cell edges are 6.200, 12.343 and 5.249 Å and the angles 90.00°, 90.00° and 90.00°. The asymmetric unit holds Ce at (0.229, 0.054, 0.250), Sc at (0.000, 0.195, 0.750) and Tl at (0.000, 0.320, 0.250).

=====

# 11
Material: Y2RhCl
Method: DFT, GGA-PBE
State: relaxed

The calculation puts the density of states at the Fermi level at 2.00 states/eV/cell. The relative energy among the computed polymorphs is 27 meV per atom. Its energy relative to the elements, uncorrected is -1131 meV per atom.

The structure belongs to space group R3m (No. 160, hexagonal axes); the cell edges are 3.9689, 3.9689 and 22.6441 Å and the angles 90.00°, 90.00° and 120.00°. The asymmetric unit holds Y at (0.0000, 0.0000, 0.0000), Y at (0.0000, 0.0000, 0.2011), Rh at (0.0000, 0.0000, 0.6015) and Cl at (0.0000, 0.0000, 0.7749).

=====

# 12
Material: MnCuPtS4
Method: DFT, GGA-PBE
State: relaxed

The calculation puts the density of states at the Fermi level at 11.22 states/eV/cell. Its energy relative to the elements, uncorrected is -433 meV per atom.

The structure belongs to space group Imma (No. 74); the cell edges are 6.803, 7.125 and 9.887 Å and the angles 90.00°, 90.00° and 90.00°. The asymmetric unit holds Mn at (0.250, 0.250, 0.250), Cu at (0.000, 0.250, 0.632), Pt at (0.000, 0.000, 0.000), S at (0.000, 0.024, 0.244) and S at (0.237, 0.250, 0.015).